A relaxed structure of LiPm2Mg4. Source: Alexandria, functional PBE.

Unit cell a=5.2761 b=5.2761 c=22.4803 alpha=90.00 beta=90.00 gamma=120.00
Space group R-3m (No. 166, hexagonal axes)
Unique sites:
Li: 0.0000 0.0000 0.0000 x3
Pm: 0.0000 0.0000 0.2841 x6
Mg: 0.0000 0.0000 0.1325 x6
Mg: 0.0000 0.0000 0.4340 x6

Summary:
Calculated total energy: -2.553 eV per atom
Calculated volume: 25.81 Å³/atom
Size of the total moment: 0.0 μB/f.u.
Calculated formation energy: -0.011 eV per atom

A relaxed structure of BePH6CCl3. Source: Alexandria, functional PBE.

Unit cell a=5.979 b=6.002 c=6.005 alpha=76.59 beta=76.72 gamma=76.50
Space group P1 (No. 1)
Unique sites:
Be: 0.000 0.000 0.000 x1
P: 0.586 0.579 0.579 x1
H: 0.405 0.732 0.477 x1
H: 0.487 0.397 0.734 x1
H: 0.589 0.803 0.854 x1
H: 0.746 0.480 0.400 x1
H: 0.803 0.858 0.592 x1
H: 0.858 0.594 0.805 x1
C: 0.724 0.724 0.723 x1
Cl: 0.136 0.155 0.698 x1
Cl: 0.156 0.697 0.135 x1
Cl: 0.697 0.136 0.155 x1

Summary:
Calculated total energy: -4.245 eV per atom
Calculated volume: 16.69 Å³/atom
Size of the total moment: 0.0 μB/f.u.

A relaxed structure of Na3ZnP. Source: Alexandria, functional PBE.

Unit cell a=5.456 b=5.456 c=5.456 alpha=90.00 beta=90.00 gamma=90.00
Space group Pm-3m (No. 221)
Unique sites:
Na: 0.000 0.000 0.500 x3
Zn: 0.500 0.500 0.500 x1
P: 0.000 0.000 0.000 x1

Summary:
Calculated total energy: -2.172 eV per atom
Calculated volume: 32.48 Å³/atom
Size of the total moment: 0.0 μB/f.u.
Calculated formation energy: -0.044 eV per atom

A relaxed structure of TlCo3Rh. Source: Alexandria, functional PBE.

Unit cell a=4.595 b=4.595 c=4.595 alpha=90.00 beta=90.00 gamma=90.00
Space group Pm-3m (No. 221)
Unique sites:
Tl: 0.000 0.000 0.000 x1
Co: 0.000 0.500 0.500 x3
Rh: 0.500 0.500 0.500 x1

Summary:
Calculated total energy: -5.056 eV per atom
Calculated volume: 19.40 Å³/atom
Size of the total moment: 6.7 μB/f.u.
Calculated formation energy: 1.151 eV per atom

A relaxed structure of Nb2NiRh2. Source: Alexandria, functional PBE.

Unit cell a=4.643 b=14.257 c=4.683 alpha=90.00 beta=90.00 gamma=90.00
Space group Cmc2_1 (No. 36)
Unique sites:
Nb: 0.000 0.138 0.000 x4
Nb: 0.000 0.361 0.984 x4
Ni: 0.000 0.456 0.460 x4
Rh: 0.000 0.055 0.509 x4
Rh: 0.000 0.265 0.493 x4

Summary:
Calculated total energy: -8.444 eV per atom
Calculated volume: 15.50 Å³/atom
Size of the total moment: 0.0 μB/f.u.
Calculated formation energy: -0.319 eV per atom

A relaxed structure of TlPd3Se. Source: Alexandria, functional PBE.

Unit cell a=4.782 b=4.782 c=4.782 alpha=90.00 beta=90.00 gamma=90.00
Space group Pm-3m (No. 221)
Unique sites:
Tl: 0.000 0.000 0.000 x1
Pd: 0.000 0.500 0.500 x3
Se: 0.500 0.500 0.500 x1

Summary:
Calculated total energy: -4.271 eV per atom
Raw formation energy: 15 meV per atom
Calculated volume: 21.88 Å³/atom
Size of the total moment: 0.0 μB/f.u.

A relaxed structure of TcRuRh2Se. Source: Alexandria, functional PBE.

Unit cell a=4.687 b=4.687 c=4.623 alpha=90.00 beta=90.00 gamma=90.00
Space group P4/mmm (No. 123)
Unique sites:
Tc: 0.000 0.000 0.000 x1
Ru: 0.000 0.000 0.500 x1
Rh: 0.000 0.500 0.000 x2
Se: 0.500 0.500 0.500 x1

Summary:
Calculated total energy: -6.178 eV per atom
Raw formation energy: 1387 meV per atom
Calculated volume: 20.32 Å³/atom
Size of the total moment: 0.2 μB/f.u.

A relaxed structure of SrZnNi2. Source: Alexandria, functional PBE.

Unit cell a=3.960 b=3.960 c=8.833 alpha=90.00 beta=90.00 gamma=90.00
Space group I-4m2 (No. 119)
Unique sites:
Sr: 0.000 0.000 0.000 x2
Zn: 0.000 0.500 0.750 x2
Ni: 0.000 0.000 0.500 x2
Ni: 0.000 0.500 0.250 x2

Summary:
Calculated total energy: -3.365 eV per atom
Calculated volume: 17.31 Å³/atom
Size of the total moment: 0.0 μB/f.u.
Calculated formation energy: 0.265 eV per atom